TmHfIn2 | PBE | relaxed

The value obtained for the spin magnetization is 0.0 μB/cell. For the density of states at the Fermi level, the calculation gives 0.7141 states/eV/atom. The volume is 379 Å³ per cell. The energy above the lowest structure with this stoichiometry comes out at 0.22 eV per formula unit.

It has space group Fm-3m (No. 225), with a = 7.238 Å, b = 7.238 Å, c = 7.238 Å, α = 90.00°, β = 90.00° and γ = 90.00°. Symmetry generates all atoms from Tm at (0.000, 0.000, 0.000), Hf at (0.000, 0.000, 0.500) and In at (0.250, 0.250, 0.250).